Crystalline Sr2ZnInH at its relaxed geometry, computed with GGA-PBE.

Unit cell a=5.409 b=5.409 c=4.243 alpha=90.00 beta=90.00 gamma=90.00
Element x y z (fractional)
Sr 0.000 0.500 0.000
Sr 0.500 0.000 0.000
Zn 0.000 0.000 0.500
H 0.000 0.000 0.000
In 0.500 0.500 0.500

Results
Final energy   -2.4257 eV per atom
SG   P4/mmm (123)



Crystalline SrNd2Ho at its relaxed geometry, computed with GGA-PBE.

Unit cell a=3.737 b=3.737 c=10.733 alpha=90.00 beta=90.00 gamma=90.00
Element x y z (fractional)
Sr 0.500 0.500 0.500
Nd 0.000 0.000 0.777
Nd 0.000 0.000 0.223
Ho 0.500 0.500 0.000

Results
Final energy   -3.8606 eV per atom
ΔE_f   88 meV per atom
SG   P4/mmm (123)



Crystalline HfGa2Si2 at its relaxed geometry, computed with GGA-PBE.

Unit cell a=6.918 b=6.918 c=3.569 alpha=90.00 beta=90.00 gamma=90.00
Element x y z (fractional)
Si 0.375 0.875 0.000
Si 0.875 0.625 0.000
Si 0.625 0.125 0.000
Si 0.125 0.375 0.000
Hf 0.000 0.000 0.000
Hf 0.500 0.500 0.000
Ga 0.172 0.672 0.500
Ga 0.672 0.828 0.500
Ga 0.828 0.328 0.500
Ga 0.328 0.172 0.500

Results
Final energy   -5.4331 eV per atom
Formation energy from raw total energies   -0.06 eV per atom
SG   P4/mbm (127)



Crystalline Si2NiPRh at its relaxed geometry, computed with GGA-PBE.

Unit cell a=4.549 b=4.600 c=4.549 alpha=90.00 beta=90.00 gamma=90.00
Element x y z (fractional)
Ni 0.500 0.500 0.500
Si 0.000 0.000 0.500
Si 0.500 0.000 0.000
Rh 0.000 0.000 0.000
P 0.000 0.500 0.000

Results
Final energy   -5.0899 eV per atom
Formation energy from raw total energies   0.79 eV per atom
SG   P4/mmm (123)



Crystalline Pr5Hg2Pb5 at its relaxed geometry, computed with GGA-PBE.

Unit cell a=4.825 b=8.864 c=9.435 alpha=77.18 beta=75.18 gamma=74.20
Element x y z (fractional)
Pr 0.500 0.500 0.500
Pr 0.397 0.297 0.909
Pr 0.309 0.059 0.323
Pr 0.691 0.941 0.677
Pr 0.603 0.703 0.091
Hg 0.866 0.552 0.717
Hg 0.134 0.448 0.283
Pb 0.928 0.784 0.361
Pb 0.234 0.693 0.839
Pb 0.766 0.307 0.161
Pb 0.072 0.216 0.639
Pb 0.000 0.000 0.000

Results
Final energy   -4.0648 eV per atom
ΔE_f   -478 meV per atom
SG   C2/m (12)



Crystalline FePCSe at its relaxed geometry, computed with GGA-PBE.

Unit cell a=7.750 b=2.907 c=6.373 alpha=90.00 beta=113.09 gamma=90.00
Element x y z (fractional)
P 0.151 0.000 0.623
P 0.151 0.500 0.123
C 0.318 0.000 0.893
C 0.318 0.500 0.393
Fe 0.404 0.000 0.223
Fe 0.404 0.500 0.723
Se 0.625 0.000 0.626
Se 0.625 0.500 0.126

Results
Final energy   -6.2433 eV per atom
Formation energy from raw total energies   0.40 eV per atom
SG   Cm (8)



Crystalline CsMn2FeBr8 at its relaxed geometry, computed with GGA-PBE.

Unit cell a=6.664 b=6.664 c=11.567 alpha=73.26 beta=73.26 gamma=60.00
Element x y z (fractional)
Cs 0.000 0.000 0.000
Mn 0.762 0.762 0.713
Mn 0.238 0.238 0.287
Fe 0.500 0.500 0.500
Br 0.688 0.688 0.936
Br 0.312 0.312 0.064
Br 0.575 0.238 0.343
Br 0.762 0.425 0.657
Br 0.157 0.762 0.657
Br 0.238 0.843 0.343
Br 0.843 0.575 0.343
Br 0.425 0.157 0.657

Results
Final energy   -4.1495 eV per atom
Formation energy from raw total energies   -0.73 eV per atom
SG   R32 (155)



Crystalline Cs2DyAgF6 at its relaxed geometry, computed with GGA-PBE.

Unit cell a=6.635 b=6.634 c=6.636 alpha=59.99 beta=59.99 gamma=89.98
Element x y z (fractional)
Cs 0.250 0.750 0.500
Cs 0.750 0.250 0.500
Dy 0.500 0.500 0.000
Ag 0.000 0.000 0.000
F 0.267 0.733 0.000
F 0.733 0.733 0.000
F 0.267 0.267 0.466
F 0.733 0.267 0.000
F 0.267 0.267 0.000
F 0.733 0.733 0.534

Results
Final energy   -5.0222 eV per atom
Formation energy from raw total energies   -2.98 eV per atom
SG   Fm-3m (225)



Crystalline Rb2MnBr5 at its relaxed geometry, computed with GGA-PBE.

Unit cell a=7.430 b=7.430 c=7.430 alpha=95.55 beta=116.85 gamma=116.85
Element x y z (fractional)
Rb 0.500 0.241 0.741
Rb 0.500 0.741 0.241
Mn 0.000 0.026 0.026
Br 0.557 0.763 0.763
Br 0.000 0.763 0.206
Br 0.000 0.206 0.763
Br 0.443 0.206 0.206
Br 0.000 0.276 0.276

Results
Final energy   -3.6749 eV per atom
Formation energy from raw total energies   -1.24 eV per atom
SG   I4mm (107)



Crystalline CaCo2Br at its relaxed geometry, computed with GGA-PBE.

Unit cell a=3.848 b=3.848 c=6.746 alpha=89.93 beta=89.93 gamma=60.04
Element x y z (fractional)
Ca 0.708 0.708 0.789
Co 0.041 0.041 0.080
Co 0.375 0.375 0.130
Br 0.375 0.375 0.501

Results
Final energy   -4.6444 eV per atom
Formation energy from raw total energies   -0.17 eV per atom
SG   Cm (8)



Crystalline PuTiI at its relaxed geometry, computed with GGA-PBE.

Unit cell a=3.514 b=9.318 c=10.895 alpha=145.52 beta=108.81 gamma=90.01
Element x y z (fractional)
Pu 0.810 0.131 0.560
Pu 0.190 0.869 0.440
Ti 0.308 0.678 0.058
Ti 0.692 0.322 0.942
I 0.523 0.599 0.773
I 0.477 0.401 0.227

Results
Final energy   -7.9996 eV per atom
Formation energy from raw total energies   -0.07 eV per atom
SG   P2_1/m (11)



Crystalline CuNiW at its relaxed geometry, computed with GGA-PBE.

Unit cell a=3.952 b=3.952 c=3.952 alpha=60.00 beta=60.00 gamma=60.00
Element x y z (fractional)
Cu 0.500 0.500 0.500
Ni 0.750 0.750 0.750
W 0.000 0.000 0.000

Results
Final energy   -7.0571 eV per atom
ΔE_f   553 meV per atom
SG   F-43m (216)



Crystalline SrCa3Sc at its relaxed geometry, computed with GGA-PBE.

Unit cell a=5.968 b=5.968 c=5.968 alpha=90.00 beta=90.00 gamma=90.00
Element x y z (fractional)
Sc 0.500 0.500 0.500
Sr 0.000 0.000 0.000
Ca 0.000 0.500 0.000
Ca 0.000 0.000 0.500
Ca 0.500 0.000 0.000

Results
Final energy   -1.7195 eV per atom
ΔE_f   1084 meV per atom
SG   Pm-3m (221)